A plane-wave DFT calculation with PBE was carried out for Y2Mg2Zn15 after structural relaxation.

Values from the calculation:
Formation energy from the elements in eV/atom: -0.23
N(E_F) in states/eV/atom: 0.195
Magnetization in μB/atom: 0.00

Geometry as POSCAR:
```
Y2Mg2Zn15
1.0
6.871 -0.003 -0.003
0.888 6.813 -0.003
0.888 0.779 6.768
Zn Y Mg
15 2 2
Cartesian
5.151 1.605 4.365 Zn
5.151 4.521 1.093 Zn
6.387 2.690 2.397 Zn
3.496 5.984 2.397 Zn
3.435 -0.002 -0.001 Zn
3.496 3.068 5.669 Zn
5.095 0.229 2.007 Zn
0.888 5.022 2.007 Zn
0.888 2.570 4.758 Zn
0.444 0.390 3.384 Zn
0.444 3.407 -0.001 Zn
5.095 2.020 -0.003 Zn
2.260 4.899 4.365 Zn
2.664 0.547 4.758 Zn
2.664 4.790 -0.003 Zn
5.682 4.987 4.444 Y
2.965 2.602 2.319 Y
0.902 0.791 0.705 Mg
7.745 6.798 6.057 Mg
```